The following is a PBE-GGA calculation of crystalline Zr2SeBr at its relaxed geometry, from Alexandria via LeMat-Bulk.

The structure belongs to space group Cmmm (No. 65); the cell edges are 3.383, 5.978 and 8.873 Å and the angles 90.00°, 90.00° and 90.00°. The inequivalent atoms are Zr at (0.000, 0.000, 0.234), Se at (0.000, 0.500, 0.000) and Br at (0.000, 0.500, 0.500).

As for the polymorph energy (0 for the lowest one): 37.9 kJ/mol of atoms. Its crystal system is orthorhombic. The uncorrected formation energy comes out at -2.05 eV per formula unit. For the density of states at the Fermi level, the calculation gives 6.817 states/eV/cell. The spin magnetization comes out at 0.000 μB/f.u.